Record 1
8
Lattice="-5.0982 5.0982 2.2024 5.0982 -5.0982 2.2024 5.0982 5.0982 -2.2024" Properties=species:S:1:pos:R:3 comment="Na2CrCo, optimized geometry, DFT PBE" total_energy_ev_per_atom=-3.779 relative_energy_mev_per_atom=0 formation_enthalpy_0k_ev_per_atom=1.06 spacegroup="No. 122" magmom_total_mub_per_fu=3.02 vol_a3_per_fu=114 pbc="T T T"
Na 1.1634 2.5491 0.5506
Na -2.5491 3.9347 1.6518
Na -1.1634 7.6472 0.5506
Na 2.5491 6.2616 1.6518
Cr 5.0982 0.0000 1.1012
Cr 0.0000 0.0000 2.2024
Co 0.0000 0.0000 0.0000
Co 0.0000 5.0982 1.1012

---

Record 2
5
Lattice="4.1216 0.0000 0.0000 0.0000 4.1216 0.0000 0.0000 0.0000 4.1216" Properties=species:S:1:pos:R:3 comment="NaCrCo3, optimized geometry, DFT PBE" total_energy_ev_per_atom=-4.133 relative_energy_mev_per_atom=1258 formation_enthalpy_0k_ev_per_atom=2.32 spacegroup="No. 221" magmom_total_mub_per_fu=0.00 vol_a3_per_fu=70 pbc="T T T"
Na 0.0000 0.0000 0.0000
Cr 2.0608 2.0608 2.0608
Co 0.0000 0.0000 2.0608
Co 0.0000 2.0608 0.0000
Co 2.0608 0.0000 0.0000

---

Record 3
10
Lattice="7.2075 0.0000 0.0000 0.0000 7.2075 0.0000 0.0000 0.0000 2.4751" Properties=species:S:1:pos:R:3 comment="NaCr2Co2, optimized geometry, DFT PBE" total_energy_ev_per_atom=-6.509 relative_energy_mev_per_atom=38 formation_enthalpy_0k_ev_per_atom=0.45 spacegroup="No. 127" magmom_total_mub_per_fu=0.16 vol_a3_per_fu=64 pbc="T T T"
Na 0.0000 0.0000 0.0000
Na 3.6038 3.6038 0.0000
Cr 1.1184 2.4854 1.2376
Cr 2.4854 6.0891 1.2376
Cr 4.7222 1.1184 1.2376
Cr 6.0891 4.7222 1.2376
Co 0.9431 4.5468 0.0000
Co 2.6607 0.9431 0.0000
Co 4.5468 6.2644 0.0000
Co 6.2644 2.6607 0.0000

---

Record 4
5
Lattice="4.6115 0.0000 0.0000 0.0000 4.6115 0.0000 0.0000 0.0000 4.6115" Properties=species:S:1:pos:R:3 comment="NaCr3Co, optimized geometry, DFT PBE" total_energy_ev_per_atom=-6.315 formation_enthalpy_0k_ev_per_atom=1.14 spacegroup="No. 221" magmom_total_mub_per_fu=10.25 vol_a3_per_fu=98 pbc="T T T"
Na 0.0000 0.0000 0.0000
Cr 0.0000 2.3058 2.3058
Cr 2.3058 0.0000 2.3058
Cr 2.3058 2.3058 0.0000
Co 2.3058 2.3058 2.3058